No. 1
GaGe3 | PBE | relaxed

abc: 4.795 4.795 4.795
angles: 60.00 60.00 60.00
Atoms (fractional coordinates):
Ge: 0.500 0.500 0.500
Ge: 0.250 0.250 0.250
Ge: 0.750 0.750 0.750
Ga: 0.000 0.000 0.000

Results
- DOS(E_F) (states/eV per cell) = 1.74
- relative energy among the computed polymorphs (eV/f.u.) = 0.42


No. 2
GaGe6 | PBE | relaxed

abc: 6.138 6.138 6.138
angles: 109.47 109.47 109.47
Atoms (fractional coordinates):
Ge: 0.500 0.250 0.750
Ge: 0.750 0.500 0.250
Ge: 0.500 0.750 0.250
Ge: 0.250 0.500 0.750
Ge: 0.250 0.750 0.500
Ge: 0.750 0.250 0.500
Ga: 0.000 0.000 0.000

Results
- DOS(E_F) (states/eV per cell) = 5.11
- final energy (eV/atom) = -4.104


No. 3
Ga3Ge | PBE | relaxed

abc: 3.142 4.926 4.925
angles: 90.00 90.00 90.00
Atoms (fractional coordinates):
Ga: 0.500 0.000 0.428
Ga: 0.500 0.500 0.905
Ga: 0.000 0.500 0.405
Ge: 0.000 0.000 0.929

Results
- DOS(E_F) (states/eV per cell) = 1.10
- relative energy among the computed polymorphs (eV/f.u.) = 0.01


No. 4
Ga2Ge | PBE | relaxed

abc: 3.546 3.546 5.283
angles: 111.29 111.29 90.86
Atoms (fractional coordinates):
Ge: 0.500 0.500 0.000
Ga: 0.834 0.834 0.669
Ga: 0.166 0.166 0.331

Results
- DOS(E_F) (states/eV per cell) = 1.14
- relative energy among the computed polymorphs (eV/f.u.) = 0.00


No. 5
GaGe2H | PBE | relaxed

abc: 4.397 4.397 7.647
angles: 73.29 73.29 90.00
Atoms (fractional coordinates):
Ga: 0.750 0.250 0.500
Ga: 0.000 0.000 0.000
H: 0.500 0.500 0.000
H: 0.250 0.750 0.500
Ge: 0.538 0.125 0.250
Ge: 0.875 0.788 0.750
Ge: 0.212 0.625 0.250
Ge: 0.375 0.462 0.750

Results
- DOS(E_F) (states/eV per cell) = 0.49
- relative energy among the computed polymorphs (eV/f.u.) = 0.00


No. 6
Ga2GeH | PBE | relaxed

abc: 4.605 4.605 7.118
angles: 71.12 71.12 90.00
Atoms (fractional coordinates):
Ga: 0.223 0.625 0.250
Ga: 0.875 0.777 0.750
Ga: 0.375 0.473 0.750
Ga: 0.527 0.125 0.250
H: 0.500 0.500 0.000
H: 0.250 0.750 0.500
Ge: 0.750 0.250 0.500
Ge: 0.000 0.000 0.000

Results
- DOS(E_F) (states/eV per cell) = 2.43
- relative energy among the computed polymorphs (eV/f.u.) = 0.28


No. 7
Ga2GeH2 | PBE | relaxed

abc: 3.249 3.249 6.569
angles: 75.68 75.68 90.00
Atoms (fractional coordinates):
H: 0.750 0.250 0.500
H: 0.250 0.750 0.500
Ga: 0.350 0.350 0.300
Ga: 0.650 0.650 0.700
Ge: 0.000 0.000 0.000

Results
- DOS(E_F) (states/eV per cell) = 1.59
- relative energy among the computed polymorphs (eV/f.u.) = 0.00


No. 8
Ga3GeH | PBE | relaxed

abc: 5.029 5.029 5.029
angles: 90.00 90.00 90.00
Atoms (fractional coordinates):
Ge: 0.000 0.000 0.000
Ga: 0.500 0.000 0.000
Ga: 0.000 0.000 0.500
Ga: 0.000 0.500 0.000
H: 0.500 0.500 0.500

Results
- DOS(E_F) (states/eV per cell) = 2.17
- relative energy among the computed polymorphs (eV/f.u.) = 2.80